# Zr2TaTlC, relaxed, DFT GGA-PBE
# formation energy from the elements = -0.2759 eV per atom
data_Zr2TaTlC
_symmetry_space_group_name_H-M 'P 1'
_symmetry_Int_Tables_number 1
_symmetry_space_group_name_Hall 'P 1'
_cell_length_a 4.678
_cell_length_b 4.678
_cell_length_c 4.229
_cell_angle_alpha 90.00
_cell_angle_beta 90.00
_cell_angle_gamma 90.00
loop_
_atom_site_label
_atom_site_type_symbol
_atom_site_fract_x
_atom_site_fract_y
_atom_site_fract_z
Tl1 Tl 0.500 0.500 0.500
Ta1 Ta 0.000 0.000 0.500
Zr1 Zr 0.000 0.500 0.000
Zr2 Zr 0.500 0.000 0.000
C1 C 0.000 0.000 0.000